## K3Hg2Te4 (GGA-PBE)

Data for a geometry-optimized K3Hg2Te4 structure.

Lattice parameters (Å, degrees): 7.983 7.983 10.724 113.76 113.76 33.12
Fractional positions:
1 K 0.000 0.000 0.000
2 K 0.375 0.375 0.307
3 K 0.625 0.625 0.693
4 Hg 0.353 0.353 0.703
5 Hg 0.647 0.647 0.297
6 Te 0.087 0.087 0.400
7 Te 0.296 0.296 0.916
8 Te 0.704 0.704 0.084
9 Te 0.913 0.913 0.600

Calculated density (Mg/m³): 5.042
Distance to the lowest polymorph of the same formula (eV/f.u.): 0.06
E (eV per cell): -21.867
ΔE_f (raw) (eV/atom): -0.60